No. 1
Li2Lu2Sn2PdPt (PBE, optimized geometry); crystal system = tetragonal
1.0
4.7004 0.0000 0.0000
0.0000 4.7004 0.0000
0.0000 0.0000 6.6489
Li Lu Pd Pt Sn
2 2 1 1 2
Cartesian
2.3502 2.3502 0.0000
0.0000 0.0000 3.3245
0.0000 2.3502 1.6638
2.3502 0.0000 4.9851
0.0000 0.0000 0.0000
2.3502 2.3502 3.3245
2.3502 0.0000 1.6563
0.0000 2.3502 4.9926

=====

No. 2
NbTlNiPd (PBE, optimized geometry); crystal system = cubic
1.0
0.0000 3.2294 3.2294
3.2294 0.0000 3.2294
3.2294 3.2294 0.0000
Nb Ni Pd Tl
1 1 1 1
Cartesian
1.6147 1.6147 1.6147
4.8440 4.8440 4.8440
3.2294 3.2294 3.2294
0.0000 0.0000 0.0000

=====

For the records above, the corresponding M_tot values read 0.00 0.00 μB per formula unit.
For the records above, the corresponding E_tot values read -4.868 -5.631 eV per atom.